(1)
Material: PmCdPd
Method: DFT, PBE-GGA
State: optimized geometry

Cell: 10.370 4.067 7.780 Å, 90.00 121.26 90.00°
Space group C2/m (No. 12)
Symmetry-distinct sites (fractional):
Pm: 0.063 0.000 0.320 [4 per cell]
Cd: 0.170 0.500 0.068 [4 per cell]
Pd: 0.146 0.500 0.663 [4 per cell]

**DFT formation energy**: -0.65 eV/atom
**Density**: 8.617 Mg/m³
**VASP energy**: -51.191 eV for the cell shown

---

(2)
Material: Y4Er2Th
Method: DFT, PBE-GGA
State: optimized geometry

Cell: 6.231 3.599 20.119 Å, 90.00 95.97 90.00°
Space group Cm (No. 8)
Symmetry-distinct sites (fractional):
Y: 0.000 0.000 0.000 [2 per cell]
Y: 0.020 0.500 0.566 [2 per cell]
Y: 0.094 0.000 0.281 [2 per cell]
Y: 0.117 0.500 0.856 [2 per cell]
Er: 0.213 0.500 0.141 [2 per cell]
Er: 0.306 0.500 0.423 [2 per cell]
Th: 0.402 0.500 0.711 [2 per cell]

**DFT formation energy**: 0.02 eV/atom
**Density**: 6.824 Mg/m³
**VASP energy**: -84.477 eV for the cell shown